A plane-wave DFT calculation with PBE+U was carried out for crystalline CoAgO2F at its relaxed geometry.

Computed properties:
The volume is 58.6 Å³/f.u. Its electronic total energy is -4.5963 eV per atom. The total magnetization is 3.74 μB per cell.

```
CoAgO2F
1.0
3.687 0.000 0.000
0.000 3.687 0.000
0.000 0.000 4.312
Co O Ag F
1 2 1 1
direct
0.000 0.000 0.000
0.000 0.500 0.000
0.500 0.000 0.000
0.500 0.500 0.500
0.000 0.000 0.500
```